No. 1
{"formula": "TaAg4Ir", "functional": "PBE", "state": "relaxed", "cell": [[-2.496, -4.218, -1.933], [-4.830, -1.219, 1.717], [-4.159, 0.625, -3.173]], "species": ["Ta", "Ag", "Ag", "Ag", "Ag", "Ir"], "frac_coords": [[0.000, 0.000, 0.000], [0.875, 0.375, 0.375], [0.375, 0.375, 0.875], [0.375, 0.875, 0.375], [0.375, 0.375, 0.375], [0.750, 0.750, 0.750]], "delta_e_f_kj_per_mol_fu": 315, "e_tot_ev_per_atom": -4.8094, "dos_at_fermi_per_ev_fu": 2.6, "rho_kg_m3": 12921}

No. 2
{"formula": "TaAgIr2", "functional": "PBE", "state": "relaxed", "cell": [[2.972, 0.000, 0.000], [0.000, 2.972, 0.000], [0.000, 0.000, 7.499]], "species": ["Ir", "Ir", "Ag", "Ta"], "frac_coords": [[0.000, 0.000, 0.022], [0.000, 0.000, 0.478], [0.500, 0.500, 0.750], [0.500, 0.500, 0.250]], "delta_e_f_kj_per_mol_fu": -57, "e_tot_ev_per_atom": -8.2535, "dos_at_fermi_per_ev_fu": 2.1, "rho_kg_m3": 16881}

Q: Number 2 is which compound?
A: TaAgIr2